Entry 1:
Here is a relaxed structure of Sm2DyEr4Th from Alexandria. Energies are from PBE-GGA.

Unit cell a=5.049 b=5.048 c=11.151 alpha=63.09 beta=90.00 gamma=90.00
Positions (direct):
Sm 0.000 0.000 0.000
Sm 0.500 0.000 0.500
Dy 0.500 0.500 0.000
Er 0.000 0.751 0.747
Er 0.000 0.249 0.253
Er 0.500 0.749 0.253
Er 0.500 0.251 0.747
Th 0.000 0.500 0.500

- formation energy (eV per atom) = 0.030
- volume (Å³/f.u.) = 253.44

Entry 2:
Here is a relaxed structure of Sm2DyEr5Th from Alexandria. Energies are from PBE-GGA.

Unit cell a=8.692 b=8.692 c=9.761 alpha=116.44 beta=116.44 gamma=90.00
Positions (direct):
Sm 0.115 0.385 0.000
Sm 0.615 0.115 0.000
Sm 0.385 0.885 0.000
Sm 0.885 0.615 0.000
Dy 0.250 0.750 0.500
Dy 0.750 0.250 0.500
Er 0.926 0.426 0.277
Er 0.650 0.150 0.723
Er 0.074 0.574 0.723
Er 0.150 0.074 0.723
Er 0.574 0.650 0.723
Er 0.850 0.926 0.277
Er 0.426 0.350 0.277
Er 0.350 0.850 0.277
Er 0.500 0.500 0.000
Er 0.000 0.000 0.000
Th 0.250 0.250 0.500
Th 0.750 0.750 0.500

- formation energy (eV per atom) = 0.301
- volume (Å³/f.u.) = 286.42

Entry 3:
Here is a relaxed structure of Sm6DyEr2Th3 from Alexandria. Energies are from PBE-GGA.

Unit cell a=6.216 b=6.216 c=11.906 alpha=95.00 beta=95.00 gamma=119.94
Positions (direct):
Sm 0.916 0.582 0.747
Sm 0.750 0.750 0.253
Sm 0.084 0.418 0.253
Sm 0.582 0.916 0.747
Sm 0.250 0.250 0.747
Sm 0.418 0.084 0.253
Dy 0.000 0.000 0.000
Er 0.333 0.667 0.000
Er 0.667 0.333 0.000
Th 0.167 0.833 0.500
Th 0.833 0.167 0.500
Th 0.500 0.500 0.500

- formation energy (eV per atom) = 0.036
- volume (Å³/f.u.) = 392.60

Entry 4:
Here is a relaxed structure of Sm6Dy3Er2Th from Alexandria. Energies are from PBE-GGA.

Unit cell a=6.204 b=6.204 c=11.892 alpha=95.00 beta=95.00 gamma=119.95
Positions (direct):
Sm 0.917 0.586 0.751
Sm 0.753 0.753 0.249
Sm 0.083 0.414 0.249
Sm 0.586 0.917 0.751
Sm 0.247 0.247 0.751
Sm 0.414 0.083 0.249
Dy 0.167 0.833 0.500
Dy 0.833 0.167 0.500
Dy 0.500 0.500 0.500
Er 0.333 0.667 0.000
Er 0.667 0.333 0.000
Th 0.000 0.000 0.000

- formation energy (eV per atom) = 0.029
- volume (Å³/f.u.) = 390.56

Entry 5:
Here is a relaxed structure of Sm2Dy4ErTh from Alexandria. Energies are from PBE-GGA.

Unit cell a=5.909 b=5.914 c=9.447 alpha=51.23 beta=90.00 gamma=90.00
Positions (direct):
Sm 0.000 0.000 0.000
Sm 0.500 0.000 0.500
Dy 0.000 0.749 0.750
Dy 0.000 0.251 0.250
Dy 0.500 0.750 0.250
Dy 0.500 0.250 0.750
Er 0.500 0.500 0.000
Th 0.000 0.500 0.500

- formation energy (eV per atom) = 0.130
- volume (Å³/f.u.) = 257.40

Entry 6:
Here is a relaxed structure of Sm6Dy3ErTh2 from Alexandria. Energies are from PBE-GGA.

Unit cell a=6.209 b=6.209 c=11.934 alpha=94.99 beta=94.99 gamma=119.93
Positions (direct):
Sm 0.917 0.582 0.752
Sm 0.747 0.747 0.248
Sm 0.083 0.418 0.248
Sm 0.582 0.917 0.752
Sm 0.253 0.253 0.752
Sm 0.418 0.083 0.248
Dy 0.167 0.833 0.500
Dy 0.833 0.167 0.500
Dy 0.500 0.500 0.500
Er 0.000 0.000 0.000
Th 0.334 0.666 0.000
Th 0.666 0.334 0.000

- formation energy (eV per atom) = 0.033
- volume (Å³/f.u.) = 392.64

Entry 7:
Here is a relaxed structure of SmDy2Er5Th from Alexandria. Energies are from PBE-GGA.

Unit cell a=8.740 b=8.740 c=9.685 alpha=116.82 beta=116.82 gamma=90.00
Positions (direct):
Sm 0.250 0.750 0.500
Sm 0.750 0.250 0.500
Dy 0.114 0.386 0.000
Dy 0.614 0.114 0.000
Dy 0.386 0.886 0.000
Dy 0.886 0.614 0.000
Er 0.927 0.427 0.272
Er 0.655 0.155 0.728
Er 0.073 0.573 0.728
Er 0.155 0.073 0.728
Er 0.573 0.655 0.728
Er 0.845 0.927 0.272
Er 0.427 0.345 0.272
Er 0.345 0.845 0.272
Er 0.500 0.500 0.000
Er 0.000 0.000 0.000
Th 0.250 0.250 0.500
Th 0.750 0.750 0.500

- formation energy (eV per atom) = 0.315
- volume (Å³/f.u.) = 284.81

Entry 8:
Here is a relaxed structure of Sm2Dy5ErTh from Alexandria. Energies are from PBE-GGA.

Unit cell a=5.705 b=11.136 c=9.748 alpha=90.00 beta=90.00 gamma=104.84
Positions (direct):
Sm 0.886 0.771 0.826
Sm 0.130 0.261 0.710
Sm 0.114 0.229 0.326
Sm 0.870 0.739 0.210
Dy 0.397 0.794 0.042
Dy 0.730 0.460 0.828
Dy 0.470 0.940 0.743
Dy 0.305 0.611 0.718
Dy 0.985 0.971 0.516
Dy 0.603 0.206 0.542
Dy 0.270 0.540 0.328
Dy 0.530 0.060 0.243
Dy 0.695 0.389 0.218
Dy 0.015 0.029 0.016
Er 0.809 0.619 0.517
Er 0.191 0.381 0.017
Th 0.596 0.192 0.925
Th 0.404 0.808 0.425

- formation energy (eV per atom) = 0.162
- volume (Å³/f.u.) = 299.30

Entry 9:
Here is a relaxed structure of SmDy2Er4Th from Alexandria. Energies are from PBE-GGA.

Unit cell a=5.037 b=5.027 c=11.125 alpha=63.18 beta=90.00 gamma=90.00
Positions (direct):
Sm 0.500 0.500 0.000
Dy 0.000 0.000 0.000
Dy 0.500 0.000 0.500
Er 0.000 0.753 0.747
Er 0.000 0.247 0.253
Er 0.500 0.746 0.253
Er 0.500 0.254 0.747
Th 0.000 0.500 0.500

- formation energy (eV per atom) = 0.029
- volume (Å³/f.u.) = 251.42

Entry 10:
Here is a relaxed structure of Sm5Dy2ErTh from Alexandria. Energies are from PBE-GGA.

Unit cell a=5.626 b=10.577 c=10.545 alpha=90.00 beta=90.00 gamma=105.42
Positions (direct):
Sm 0.387 0.773 0.025
Sm 0.724 0.448 0.812
Sm 0.481 0.962 0.744
Sm 0.294 0.589 0.705
Sm 0.986 0.971 0.519
Sm 0.613 0.227 0.525
Sm 0.276 0.552 0.312
Sm 0.519 0.038 0.244
Sm 0.706 0.411 0.205
Sm 0.014 0.029 0.019
Dy 0.885 0.770 0.812
Dy 0.113 0.225 0.737
Dy 0.115 0.230 0.312
Dy 0.887 0.775 0.237
Er 0.594 0.188 0.958
Er 0.406 0.812 0.458
Th 0.801 0.602 0.512
Th 0.199 0.398 0.012

- formation energy (eV per atom) = 0.156
- volume (Å³/f.u.) = 302.44

Entry 11:
Here is a relaxed structure of SmDyErTh from Alexandria. Energies are from PBE-GGA.

Unit cell a=3.588 b=3.588 c=11.667 alpha=90.00 beta=98.86 gamma=119.99
Positions (direct):
Sm 0.969 0.383 0.367
Dy 0.474 0.135 0.623
Er 0.133 0.964 0.111
Th 0.302 0.549 0.867

- formation energy (eV per atom) = 0.011
- energy relative to the lowest polymorph listed for this composition (meV per atom) = 0
- volume (Å³/f.u.) = 128.02

Entry 12:
Here is a relaxed structure of Sm6DyEr3Th2 from Alexandria. Energies are from PBE-GGA.

Unit cell a=6.203 b=6.203 c=11.902 alpha=94.99 beta=94.99 gamma=119.94
Positions (direct):
Sm 0.917 0.581 0.751
Sm 0.747 0.747 0.249
Sm 0.083 0.419 0.249
Sm 0.581 0.917 0.751
Sm 0.253 0.253 0.751
Sm 0.419 0.083 0.249
Dy 0.000 0.000 0.000
Er 0.167 0.833 0.500
Er 0.833 0.167 0.500
Er 0.500 0.500 0.500
Th 0.333 0.667 0.000
Th 0.667 0.333 0.000

- formation energy (eV per atom) = 0.037
- volume (Å³/f.u.) = 390.77

Entry 13:
Here is a relaxed structure of SmDy3ErTh from Alexandria. Energies are from PBE-GGA.

Unit cell a=3.567 b=10.661 c=10.652 alpha=109.26 beta=90.00 gamma=90.00
Positions (direct):
Sm 0.250 0.125 0.292
Sm 0.750 0.875 0.708
Dy 0.750 0.871 0.042
Dy 0.250 0.129 0.958
Dy 0.250 0.626 0.457
Dy 0.750 0.374 0.543
Dy 0.750 0.379 0.206
Dy 0.250 0.621 0.794
Er 0.250 0.128 0.626
Er 0.750 0.872 0.374
Th 0.250 0.625 0.123
Th 0.750 0.375 0.877

- formation energy (eV per atom) = 0.023
- volume (Å³/f.u.) = 191.19

Entry 14:
Here is a relaxed structure of SmDyEr2Tl2 from Alexandria. Energies are from PBE-GGA.

Unit cell a=5.106 b=6.801 c=9.989 alpha=90.00 beta=90.00 gamma=90.00
Positions (direct):
Sm 0.000 0.961 0.459
Sm 0.000 0.461 0.541
Dy 0.500 0.182 0.691
Dy 0.500 0.682 0.309
Er 0.500 0.051 0.042
Er 0.000 0.335 0.183
Er 0.500 0.551 0.958
Er 0.000 0.835 0.817
Tl 0.000 0.298 0.868
Tl 0.500 0.219 0.361
Tl 0.000 0.798 0.132
Tl 0.500 0.719 0.639

- formation energy (eV per atom) = -0.265
- volume (Å³/f.u.) = 173.44

Entry 15:
Here is a relaxed structure of Sm6Dy2Er3Tl from Alexandria. Energies are from PBE-GGA.

Unit cell a=6.156 b=6.156 c=11.724 alpha=95.05 beta=95.05 gamma=120.09
Positions (direct):
Sm 0.917 0.588 0.751
Sm 0.755 0.755 0.251
Sm 0.083 0.412 0.249
Sm 0.588 0.917 0.751
Sm 0.245 0.245 0.749
Sm 0.412 0.083 0.249
Dy 0.334 0.666 0.000
Dy 0.666 0.334 0.000
Er 0.167 0.833 0.500
Er 0.833 0.167 0.500
Er 0.500 0.500 0.500
Tl 0.000 0.000 0.000

- formation energy (eV per atom) = -0.013
- volume (Å³/f.u.) = 378.36

Entry 16:
Here is a relaxed structure of Sm6Dy3Er2Tl from Alexandria. Energies are from PBE-GGA.

Unit cell a=6.173 b=6.173 c=11.714 alpha=95.09 beta=95.09 gamma=120.12
Positions (direct):
Sm 0.918 0.589 0.753
Sm 0.753 0.753 0.249
Sm 0.082 0.411 0.247
Sm 0.589 0.918 0.753
Sm 0.247 0.247 0.751
Sm 0.411 0.082 0.247
Dy 0.168 0.832 0.500
Dy 0.832 0.168 0.500
Dy 0.500 0.500 0.500
Er 0.334 0.666 0.000
Er 0.666 0.334 0.000
Tl 0.000 0.000 0.000

- formation energy (eV per atom) = -0.009
- volume (Å³/f.u.) = 380.00

Entry 17:
Here is a relaxed structure of SmDy2ErTl2 from Alexandria. Energies are from PBE-GGA.

Unit cell a=5.112 b=6.849 c=9.992 alpha=90.00 beta=90.00 gamma=90.00
Positions (direct):
Sm 0.000 0.959 0.456
Sm 0.000 0.459 0.544
Dy 0.500 0.053 0.045
Dy 0.000 0.338 0.184
Dy 0.500 0.553 0.955
Dy 0.000 0.838 0.816
Er 0.500 0.178 0.691
Er 0.500 0.678 0.309
Tl 0.000 0.298 0.866
Tl 0.500 0.220 0.366
Tl 0.000 0.798 0.134
Tl 0.500 0.720 0.634

- formation energy (eV per atom) = -0.268
- volume (Å³/f.u.) = 174.90

Entry 18:
Here is a relaxed structure of Sm2Dy6Er3Tl from Alexandria. Energies are from PBE-GGA.

Unit cell a=6.082 b=6.082 c=11.682 alpha=95.00 beta=95.00 gamma=120.04
Positions (direct):
Sm 0.334 0.666 0.000
Sm 0.666 0.334 0.000
Dy 0.917 0.588 0.749
Dy 0.755 0.755 0.252
Dy 0.083 0.412 0.251
Dy 0.588 0.917 0.749
Dy 0.245 0.245 0.748
Dy 0.412 0.083 0.251
Er 0.167 0.833 0.500
Er 0.833 0.167 0.500
Er 0.500 0.500 0.500
Tl 0.000 0.000 0.000

- formation energy (eV per atom) = -0.024
- volume (Å³/f.u.) = 368.34

Entry 19:
Here is a relaxed structure of Sm2DyErTl2 from Alexandria. Energies are from PBE-GGA.

Unit cell a=5.128 b=6.843 c=10.101 alpha=90.00 beta=90.00 gamma=90.00
Positions (direct):
Sm 0.500 0.055 0.042
Sm 0.000 0.331 0.187
Sm 0.500 0.555 0.958
Sm 0.000 0.831 0.813
Dy 0.000 0.962 0.458
Dy 0.000 0.462 0.542
Er 0.500 0.180 0.685
Er 0.500 0.680 0.315
Tl 0.000 0.300 0.858
Tl 0.500 0.218 0.373
Tl 0.000 0.800 0.142
Tl 0.500 0.718 0.627

- formation energy (eV per atom) = -0.268
- volume (Å³/f.u.) = 177.22

Entry 20:
Here is a relaxed structure of SmDy2ErTl4 from Alexandria. Energies are from PBE-GGA.

Unit cell a=5.382 b=5.382 c=9.347 alpha=73.27 beta=73.27 gamma=60.00
Positions (direct):
Sm 0.000 0.000 0.000
Dy 0.751 0.751 0.748
Dy 0.249 0.249 0.252
Er 0.500 0.500 0.500
Tl 0.376 0.376 0.871
Tl 0.874 0.874 0.378
Tl 0.126 0.126 0.622
Tl 0.624 0.624 0.129

- formation energy (eV per atom) = -0.340
- volume (Å³/f.u.) = 221.15